# 1
An optimized crystal structure of Hg5Br. Source: Alexandria via LeMat-Bulk, functional PBE.

DOS at the Fermi energy: 0.20 states/eV per atom
energy relative to the elements, uncorrected: -100 meV per atom
distance to the lowest polymorph of the same formula: 15.0 meV/atom
DFT total energy: -0.0232 Ha/atom
total magnetic moment: 0.00 μB/cell

The structure in CIF format:
```
data_Hg5Br
_chemical_formula_sum 'Hg10 Br2'
_symmetry_space_group_name_H-M 'C 1 2/m 1'
_symmetry_Int_Tables_number 12
_symmetry_space_group_name_Hall '-C 2y'
_cell_length_a 12.5933
_cell_length_b 4.1962
_cell_length_c 6.8246
_cell_angle_alpha 90.00
_cell_angle_beta 99.15
_cell_angle_gamma 90.00
loop_
_atom_site_label
_atom_site_type_symbol
_atom_site_fract_x
_atom_site_fract_y
_atom_site_fract_z
Hg1 Hg 0.0000 0.0000 0.0000
Hg2 Hg 0.1719 0.5000 0.1116
Hg3 Hg 0.1885 0.5000 0.6212
Br1 Br 0.0000 0.0000 0.5000
```

# 2
An optimized crystal structure of HgBr. Source: Alexandria via LeMat-Bulk, functional PBE.

DOS at the Fermi energy: 0.31 states/eV per atom
energy relative to the elements, uncorrected: -170 meV per atom
distance to the lowest polymorph of the same formula: 235.3 meV/atom
DFT total energy: -0.0425 Ha/atom
total magnetic moment: 0.00 μB/cell

The structure in CIF format:
```
data_HgBr
_chemical_formula_sum 'Hg2 Br2'
_symmetry_space_group_name_H-M 'P 1 21/m 1'
_symmetry_Int_Tables_number 11
_symmetry_space_group_name_Hall '-P 2yb'
_cell_length_a 4.2223
_cell_length_b 4.2116
_cell_length_c 7.2831
_cell_angle_alpha 90.00
_cell_angle_beta 90.81
_cell_angle_gamma 90.00
loop_
_atom_site_label
_atom_site_type_symbol
_atom_site_fract_x
_atom_site_fract_y
_atom_site_fract_z
Hg1 Hg 0.2447 0.2500 0.2500
Br1 Br 0.2554 0.2500 0.7501
```